# 1
The following is a PBE calculation of an optimized crystal structure of SmScSi2, from Alexandria.

Calculated values
* M_tot: 0.0 μB per formula unit
* formation energy without anion corrections: -523.1 meV/atom
* DOS(E_F): 2.5 states/eV/cell
* electronic total energy: -5.997 eV/atom
* offset from the most stable computed form: 0.2368 eV per atom

```
SmScSi2
1.0
-0.6463 -2.0058 3.8986
-2.4289 -3.7007 0.2122
3.2025 -4.7198 0.6215
Si Sc Sm
2 1 1
Direct
0.2675 0.2675 0.1974
0.7325 0.7325 0.8026
0.0000 0.0000 0.0000
0.5000 0.5000 0.5000
```


# 2
The following is a PBE calculation of an optimized crystal structure of VCrInRu2, from Alexandria.

Calculated values
* M_tot: 0.4 μB per formula unit
* formation energy: 1455 meV/atom
* DOS(E_F): 7.9 states/eV/cell
* electronic total energy: -6.552 eV/atom

```
VCrInRu2
1.0
4.3945 0.0000 0.0000
0.0000 4.9424 0.0000
0.0000 0.0000 4.3945
Cr In Ru V
1 1 2 1
Direct
0.5000 0.5000 0.5000
0.0000 0.5000 0.0000
0.0000 0.0000 0.5000
0.5000 0.0000 0.0000
0.0000 0.0000 0.0000
```


# 3
The following is a PBE calculation of an optimized crystal structure of RbZnCl3, from Alexandria.

Calculated values
* M_tot: 0.0 μB per formula unit
* formation energy without anion corrections: -1504.3 meV/atom
* DOS(E_F): 0.0 states/eV/cell
* electronic total energy: -3.061 eV/atom

```
RbZnCl3
1.0
6.0892 -0.0685 -0.0783
0.3241 7.3528 -0.0694
0.4253 -0.6240 6.9629
Rb Cl Zn
2 6 2
Direct
0.3223 0.8930 0.7973
0.8614 0.4306 0.6518
0.8247 0.9556 0.5705
0.8316 0.7641 0.0248
0.3547 0.0507 0.2706
0.3514 0.5594 0.4245
0.3592 0.3674 0.8788
0.8287 0.2728 0.1789
0.4428 0.3453 0.1845
0.7406 0.9782 0.2650
```